1.
LuThScTi | the Alexandria database | PBE | relaxed; energy relative to the elements = 3.29 kcal/mol of atoms; total magnetic moment = 1.2 μB/f.u.; space group = No. 216; Fermi-level density of states = 6.83 states/eV/cell
1.0
5.241 0.000 0.000
2.621 4.539 0.000
2.621 1.513 4.279
Th Sc Lu Ti
1 1 1 1
Direct
0.000 0.000 0.000 Th
0.750 0.750 0.750 Sc
0.500 0.500 0.500 Lu
0.250 0.250 0.250 Ti

***

2.
NdNpBr6 | the Alexandria database | PBE | relaxed; formation energy from raw total energies = -1.57 eV per atom; total magnetic moment = 4.0 μB/f.u.; space group = No. 12; Fermi-level density of states = 4.53 states/eV/cell
1.0
-5.126 -5.288 1.411
6.563 -1.588 -3.261
2.406 0.868 6.708
Br Nd Np
6 1 1
Direct
0.751 0.751 0.249 Br
0.898 0.601 0.752 Br
0.601 0.898 0.752 Br
0.249 0.249 0.751 Br
0.102 0.399 0.248 Br
0.399 0.102 0.248 Br
0.500 0.500 0.500 Nd
0.000 0.000 0.000 Np

***

3.
AcAgSbPb | the Alexandria database | PBE | relaxed; formation energy from raw total energies = -0.35 eV per atom; total magnetic moment = 0.0 μB/f.u.; space group = No. 216; Fermi-level density of states = 1.88 states/eV/cell
1.0
5.529 0.000 0.000
2.764 4.788 0.000
2.764 1.596 4.514
Ag Pb Sb Ac
1 1 1 1
Direct
0.250 0.250 0.250 Ag
0.500 0.500 0.500 Pb
0.750 0.750 0.750 Sb
0.000 0.000 0.000 Ac

***

4.
ErNbRu2 | the Alexandria database | PBE | relaxed; energy relative to the elements = -9.20 kcal/mol of atoms; total magnetic moment = 0.0 μB/f.u.; space group = No. 123; energy above the most stable polymorph in this dataset = 0 meV/atom; Fermi-level density of states = 1.87 states/eV/cell
1.0
-1.958 -2.016 1.613
2.157 -2.390 -0.369
2.928 1.756 5.748
Nb Ru Er
1 2 1
Direct
0.500 0.500 0.000 Nb
0.000 0.000 0.226 Ru
0.000 0.000 0.774 Ru
0.500 0.500 0.500 Er

***

5.
VRu2Cl | the Alexandria database | PBE | relaxed; formation energy from raw total energies = 0.68 eV per atom; total magnetic moment = 0.6 μB/f.u.; space group = No. 225; energy above the most stable polymorph in this dataset = 0 meV/atom; Fermi-level density of states = 3.82 states/eV/cell
1.0
0.898 -3.951 1.521
-0.818 -0.963 4.140
-3.217 -2.719 0.994
Cl V Ru
1 1 2
Direct
0.000 0.000 0.000 Cl
0.500 0.500 0.500 V
0.250 0.250 0.250 Ru
0.750 0.750 0.750 Ru

***

6.
Li2CaIn9 | the Alexandria database | PBE | relaxed; energy relative to the elements = -4.15 kcal/mol of atoms; total magnetic moment = 0.0 μB/f.u.; space group = No. 123; Fermi-level density of states = 8.55 states/eV/cell
1.0
-0.590 0.234 -4.623
-0.886 -4.580 -0.119
-13.299 2.525 1.826
In Li Ca
9 2 1
Direct
0.000 0.500 0.823 In
0.500 0.000 0.500 In
0.000 0.500 0.177 In
0.000 0.500 0.500 In
0.500 0.500 0.335 In
0.500 0.500 0.665 In
0.500 0.000 0.177 In
0.500 0.500 0.000 In
0.500 0.000 0.823 In
0.000 0.000 0.334 Li
0.000 0.000 0.666 Li
0.000 0.000 0.000 Ca

***

7.
ReSb3Pb | the Alexandria database | PBE | relaxed; formation energy from raw total energies = 0.60 eV per atom; total magnetic moment = 0.0 μB/f.u.; space group = No. 221; energy above the most stable polymorph in this dataset = 0 meV/atom; Fermi-level density of states = 4.52 states/eV/cell
1.0
-4.926 0.740 -1.636
0.769 -3.446 -3.876
-1.622 -3.882 3.129
Sb Re Pb
3 1 1
Direct
0.500 0.000 0.000 Sb
0.000 0.500 0.000 Sb
0.000 0.000 0.500 Sb
0.000 0.000 0.000 Re
0.500 0.500 0.500 Pb

***

8.
La8Pd3CI4 | the Alexandria database | PBE | relaxed; formation energy from raw total energies = -0.85 eV per atom; total magnetic moment = 1.7 μB/f.u.; space group = No. 12; Fermi-level density of states = 18.13 states/eV/cell
1.0
-0.925 1.786 -8.247
-1.909 -9.170 -1.772
-4.918 3.869 5.758
Pd I La C
3 4 8 1
Direct
0.000 0.500 0.500 Pd
0.500 0.500 0.000 Pd
0.500 0.500 0.500 Pd
0.500 0.000 0.500 I
0.000 0.000 0.500 I
0.000 0.000 0.000 I
0.500 0.000 0.000 I
0.731 0.692 0.462 La
0.788 0.315 0.026 La
0.212 0.685 0.424 La
0.212 0.685 0.974 La
0.237 0.315 0.026 La
0.269 0.308 0.538 La
0.788 0.315 0.576 La
0.763 0.685 0.974 La
0.000 0.500 0.000 C

***

9.
Li2SbS4 | the Alexandria database | PBE | relaxed; formation energy from raw total energies = -0.46 eV per atom; total magnetic moment = 0.4 μB/f.u.; space group = No. 74; energy above the most stable polymorph in this dataset = 0 meV/atom; Fermi-level density of states = 5.37 states/eV/cell
1.0
-7.365 0.274 2.214
-3.802 -6.287 1.504
-2.075 -2.457 6.775
Sb S Li
2 8 4
Direct
0.500 0.500 0.000 Sb
0.000 0.500 0.000 Sb
0.738 0.256 0.267 S
0.262 0.233 0.244 S
0.234 0.272 0.772 S
0.738 0.767 0.756 S
0.262 0.744 0.733 S
0.722 0.272 0.772 S
0.766 0.728 0.228 S
0.278 0.728 0.228 S
0.500 0.000 0.000 Li
0.500 0.500 0.500 Li
0.095 0.155 0.655 Li
0.905 0.845 0.345 Li

***

10.
RbSiIr3 | the Alexandria database | PBE | relaxed; formation energy from raw total energies = 0.80 eV per atom; total magnetic moment = 0.0 μB/f.u.; space group = No. 221; energy above the most stable polymorph in this dataset = 0 meV/atom; Fermi-level density of states = 6.19 states/eV/cell
1.0
4.617 0.000 0.000
0.000 4.617 0.000
0.000 0.000 4.617
Si Ir Rb
1 3 1
Direct
0.000 0.000 0.000 Si
0.000 0.500 0.000 Ir
0.500 0.000 0.000 Ir
0.000 0.000 0.500 Ir
0.500 0.500 0.500 Rb

***

11.
Sm4Bi5H | the Alexandria database | PBE | relaxed; total magnetic moment = 0.0 μB/f.u.; space group = No. 12; E = -4.48 eV/atom; Fermi-level density of states = 7.93 states/eV/cell
1.0
-2.492 1.666 -1.859
-5.654 -7.049 1.264
-1.695 3.563 8.811
Sm H Bi
4 1 5
Direct
0.658 0.083 0.316 Sm
0.014 0.815 0.029 Sm
0.342 0.917 0.684 Sm
0.986 0.185 0.971 Sm
0.500 0.000 0.000 H
0.143 0.392 0.285 Bi
0.183 0.782 0.367 Bi
0.817 0.218 0.633 Bi
0.500 0.500 0.000 Bi
0.857 0.608 0.715 Bi

***

12.
NpAl2Rh | the Alexandria database | PBE | relaxed; energy relative to the elements = -11.80 kcal/mol of atoms; total magnetic moment = 3.8 μB/f.u.; space group = No. 123; Fermi-level density of states = 5.91 states/eV/cell
1.0
-1.787 -2.340 0.334
1.290 -1.317 -2.320
5.122 -3.242 4.688
Rh Np Al
1 1 2
Direct
0.500 0.500 0.000 Rh
0.500 0.500 0.500 Np
0.000 0.000 0.198 Al
0.000 0.000 0.802 Al